Entry 1:
A plane-wave DFT calculation with PBE was carried out for a geometry-optimized IrOs2Pb structure.

Lattice parameters (Å, degrees): 4.788 4.788 5.174 80.91 80.91 35.38
Fractional coordinates of all 4 atoms:
Ir (0.250, 0.250, 0.250)
Os (0.990, 0.990, 0.043)
Os (0.510, 0.510, 0.457)
Pb (0.750, 0.750, 0.750)

Calculated values
**E**: -8.057 eV/atom
**Total magnetic moment**: 0.00 μB/f.u.
**Formation energy**: 0.700 eV/atom
**Crystal system**: monoclinic

Entry 2:
A plane-wave DFT calculation with PBE was carried out for a geometry-optimized ReTc4Ge structure.

Lattice parameters (Å, degrees): 4.077 4.077 6.177 90.00 90.00 93.76
Fractional coordinates of all 6 atoms:
Re (0.500, 0.500, 0.500)
Tc (0.000, 0.500, 0.247)
Tc (0.000, 0.500, 0.753)
Tc (0.500, 0.000, 0.753)
Tc (0.500, 0.000, 0.247)
Ge (0.000, 0.000, 0.000)

Calculated values
**E**: -9.185 eV/atom
**Total magnetic moment**: 0.00 μB/f.u.
**Formation energy**: 0.570 eV/atom
**Crystal system**: orthorhombic
**ΔE to the lowest computed polymorph**: 42 kJ/mol of formula units

Entry 3:
A plane-wave DFT calculation with PBE was carried out for a geometry-optimized ReSbMo2 structure.

Lattice parameters (Å, degrees): 4.959 4.959 3.009 90.02 90.02 114.43
Fractional coordinates of all 4 atoms:
Mo (0.000, 0.000, 0.000)
Mo (0.500, 0.500, 0.000)
Re (0.500, 0.000, 0.500)
Sb (0.000, 0.500, 0.500)

Calculated values
**E**: -9.140 eV/atom
**Total magnetic moment**: 0.00 μB/f.u.
**Raw formation energy**: 418 meV per atom
**Crystal system**: orthorhombic

Entry 4:
A plane-wave DFT calculation with PBE was carried out for a geometry-optimized Tb6DyHo3 structure.

Lattice parameters (Å, degrees): 6.340 11.506 11.506 130.65 90.00 90.00
Fractional coordinates of all 20 atoms:
Tb (0.070, 0.741, 0.621)
Tb (0.570, 0.621, 0.741)
Tb (0.327, 0.457, 0.895)
Tb (0.827, 0.895, 0.457)
Tb (0.319, 0.985, 0.015)
Tb (0.790, 0.301, 0.699)
Tb (0.290, 0.699, 0.301)
Tb (0.819, 0.015, 0.985)
Tb (0.327, 0.105, 0.543)
Tb (0.827, 0.543, 0.105)
Tb (0.070, 0.379, 0.259)
Tb (0.570, 0.259, 0.379)
Dy (0.014, 0.161, 0.839)
Dy (0.514, 0.839, 0.161)
Ho (0.488, 0.958, 0.705)
Ho (0.988, 0.705, 0.958)
Ho (0.093, 0.420, 0.580)
Ho (0.593, 0.580, 0.420)
Ho (0.988, 0.042, 0.295)
Ho (0.488, 0.295, 0.042)

Calculated values
**E**: -4.487 eV/atom
**Total magnetic moment**: 0.00 μB/f.u.
**Formation energy**: 0.125 eV/atom
**Crystal system**: orthorhombic
**ΔE to the lowest computed polymorph**: 0 kJ/mol of formula units

Entry 5:
A plane-wave DFT calculation with PBE was carried out for a geometry-optimized TcB3Te structure.

Lattice parameters (Å, degrees): 4.223 4.223 4.223 90.00 90.00 90.00
Fractional coordinates of all 5 atoms:
B (0.000, 0.500, 0.000)
B (0.000, 0.000, 0.500)
B (0.500, 0.000, 0.000)
Te (0.500, 0.500, 0.500)
Tc (0.000, 0.000, 0.000)

Calculated values
**E**: -5.294 eV/atom
**Total magnetic moment**: 0.00 μB/f.u.
**Raw formation energy**: 1414 meV per atom
**Crystal system**: cubic
**ΔE to the lowest computed polymorph**: 0 kJ/mol of formula units

Entry 6:
A plane-wave DFT calculation with PBE was carried out for a geometry-optimized PmNpPa2N6 structure.

Lattice parameters (Å, degrees): 6.009 6.009 6.047 60.21 60.21 60.00
Fractional coordinates of all 10 atoms:
Pm (0.791, 0.791, 0.628)
Np (0.310, 0.310, 0.071)
Pa (0.527, 0.527, 0.418)
Pa (0.021, 0.021, 0.937)
N (0.624, 0.224, 0.231)
N (0.224, 0.921, 0.231)
N (0.921, 0.624, 0.231)
N (0.386, 0.700, 0.756)
N (0.700, 0.159, 0.756)
N (0.159, 0.386, 0.756)

Calculated values
**E**: -10.056 eV/atom
**Total magnetic moment**: 2.00 μB/f.u.
**Raw formation energy**: -1393 meV per atom
**Crystal system**: trigonal

Entry 7:
A plane-wave DFT calculation with PBE was carried out for a geometry-optimized Sm3DyMg6 structure.

Lattice parameters (Å, degrees): 5.305 9.368 11.347 105.47 90.00 90.00
Fractional coordinates of all 20 atoms:
Sm (0.250, 0.539, 0.396)
Sm (0.750, 0.461, 0.604)
Sm (0.250, 0.351, 0.793)
Sm (0.750, 0.649, 0.207)
Sm (0.250, 0.753, 0.006)
Sm (0.750, 0.247, 0.994)
Dy (0.250, 0.950, 0.602)
Dy (0.750, 0.050, 0.398)
Mg (0.250, 0.439, 0.099)
Mg (0.750, 0.561, 0.901)
Mg (0.250, 0.145, 0.193)
Mg (0.750, 0.855, 0.807)
Mg (0.250, 0.666, 0.708)
Mg (0.750, 0.334, 0.292)
Mg (0.250, 0.239, 0.488)
Mg (0.750, 0.761, 0.512)
Mg (0.250, 0.860, 0.304)
Mg (0.750, 0.140, 0.696)
Mg (0.250, 0.046, 0.898)
Mg (0.750, 0.954, 0.102)

Calculated values
**E**: -2.907 eV/atom
**Total magnetic moment**: 0.00 μB/f.u.
**Formation energy**: -0.074 eV/atom
**Crystal system**: monoclinic

Entry 8:
A plane-wave DFT calculation with PBE was carried out for a geometry-optimized RhPb2Br structure.

Lattice parameters (Å, degrees): 8.259 8.259 8.259 27.50 27.50 27.50
Fractional coordinates of all 4 atoms:
Pb (0.000, 0.000, 0.000)
Pb (0.230, 0.230, 0.230)
Rh (0.505, 0.505, 0.505)
Br (0.764, 0.764, 0.764)

Calculated values
**E**: -4.044 eV/atom
**Total magnetic moment**: 0.00 μB/f.u.
**Raw formation energy**: 67 meV per atom
**Crystal system**: trigonal
**ΔE to the lowest computed polymorph**: 93 kJ/mol of formula units